Compound: TcIr2Rh2
Source: Alexandria via LeMat-Bulk
Functional: PBE
Structure: relaxed

a = 3.569 Å, b = 3.569 Å, c = 6.771 Å
α = 74.72°, β = 74.72°, γ = 90.00°
Fractional positions:
Ir  0.402  0.402  0.195
Ir  0.598  0.598  0.805
Rh  0.750  0.250  0.500
Rh  0.250  0.750  0.500
Tc  0.000  0.000  0.000

ΔE_f = 0.494 eV/atom
Energy relative to the lowest polymorph listed for this composition = 592 meV per atom



Compound: TcIr2Rh2
Source: Alexandria via LeMat-Bulk
Functional: PBE
Structure: relaxed

a = 3.861 Å, b = 3.861 Å, c = 9.858 Å
α = 90.00°, β = 101.29°, γ = 90.00°
Fractional positions:
Tc  0.350  0.250  0.700
Tc  0.650  0.750  0.300
Ir  0.750  0.250  0.500
Ir  0.250  0.750  0.500
Ir  0.852  0.750  0.703
Ir  0.148  0.250  0.297
Rh  0.051  0.750  0.103
Rh  0.447  0.750  0.894
Rh  0.949  0.250  0.897
Rh  0.553  0.250  0.106

ΔE_f = -0.097 eV/atom
Energy relative to the lowest polymorph listed for this composition = 1 meV per atom



Computed E (eV per atom) in order:
-8.0642; -8.6549
Computed DOS(E_F) (states/eV per cell) in order:
4.157; 10.953
Computed calculated density (g/cm3) in order:
14.28; 15.86